1.
DFT (PBE) results for a relaxed CaIr3W crystal.

```
CaIr3W
1.0
-0.513 -4.706 -0.841
3.723 0.137 -3.039
2.999 -0.976 3.629
Ir Ca W
3 1 1
direct
0.500 0.000 0.000 Ir
0.000 0.500 0.000 Ir
0.000 0.000 0.500 Ir
0.500 0.500 0.500 Ca
0.000 0.000 0.000 W
```

Symmetry = Pm-3m, No. 221
Theoretical density = 11.963 g/cm3
Energy above the lowest structure with this stoichiometry = 0 meV/atom
Crystal system = cubic
E_form = 765 meV/atom
Size of the total moment = 0.0 μB per cell

2.
DFT (PBE) results for a relaxed LiSc2Re crystal.

```
LiSc2Re
1.0
-2.213 0.682 3.994
-1.634 -2.140 3.750
5.041 0.755 3.234
Sc Li Re
2 1 1
direct
0.994 0.994 0.023 Sc
0.506 0.506 0.477 Sc
0.750 0.750 0.750 Li
0.250 0.250 0.250 Re
```

Symmetry = C2/m, No. 12
Theoretical density = 6.165 g/cm3
Crystal system = monoclinic
E_form = 205 meV/atom
Size of the total moment = 0.0 μB per cell

3.
DFT (PBE) results for a relaxed CsRbBePb2 crystal.

```
CsRbBePb2
1.0
5.217 0.000 0.000
0.000 7.838 0.000
0.000 0.000 5.217
Rb Be Pb Cs
1 1 2 1
direct
0.500 0.500 0.500 Rb
0.000 0.000 0.000 Be
0.500 0.000 0.000 Pb
0.000 0.000 0.500 Pb
0.000 0.500 0.000 Cs
```

Symmetry = P4/mmm, No. 123
Theoretical density = 4.995 g/cm3
Crystal system = tetragonal
E_form = 401 meV/atom
Size of the total moment = 0.0 μB per cell

4.
DFT (PBE) results for a relaxed K3Os crystal.

```
K3Os
1.0
-0.821 -13.394 -3.326
2.226 -12.856 -4.573
1.855 -13.633 -1.350
Os K
1 3
direct
0.000 0.000 0.000 Os
0.500 0.500 0.500 K
0.730 0.730 0.730 K
0.270 0.270 0.270 K
```

Symmetry = R-3m, No. 166
Theoretical density = 3.870 g/cm3
Energy above the lowest structure with this stoichiometry = 86 meV/atom
Crystal system = trigonal
E_form = 1320 meV/atom
Size of the total moment = 1.0 μB per cell

5.
DFT (PBE) results for a relaxed MnAgSn2Cl6 crystal.

```
MnAgSn2Cl6
1.0
-3.430 5.329 -2.555
-2.711 -4.476 -5.695
-7.695 -2.471 5.606
Cl Mn Sn Ag
12 2 4 2
direct
0.827 0.220 0.434 Cl
0.673 0.720 0.066 Cl
0.814 0.161 0.053 Cl
0.126 0.539 0.256 Cl
0.314 0.339 0.553 Cl
0.374 0.039 0.244 Cl
0.173 0.780 0.566 Cl
0.874 0.461 0.744 Cl
0.626 0.961 0.756 Cl
0.686 0.661 0.447 Cl
0.327 0.280 0.934 Cl
0.186 0.839 0.947 Cl
0.000 0.500 0.500 Mn
0.500 0.000 0.000 Mn
0.957 0.885 0.218 Sn
0.043 0.115 0.782 Sn
0.543 0.385 0.282 Sn
0.457 0.615 0.718 Sn
0.000 0.500 0.000 Ag
0.500 0.000 0.500 Ag
```

Symmetry = P2_1/c, No. 14
Theoretical density = 3.916 g/cm3
Crystal system = monoclinic
Size of the total moment = 7.9 μB per cell
Formation energy (no corrections) = -0.7153 eV per atom

6.
DFT (PBE) results for a relaxed BeCd2Au8 crystal.

```
BeCd2Au8
1.0
4.383 0.000 -1.255
-0.045 5.581 -0.157
-0.054 0.457 8.092
Au Be Cd
8 1 2
direct
0.966 0.253 0.932 Au
0.423 0.642 0.847 Au
0.034 0.747 0.068 Au
0.357 0.166 0.714 Au
0.236 0.649 0.472 Au
0.643 0.834 0.286 Au
0.764 0.351 0.528 Au
0.577 0.358 0.153 Au
0.500 0.000 0.000 Be
0.835 0.847 0.669 Cd
0.165 0.153 0.331 Cd
```

Symmetry = C2/m, No. 12
Theoretical density = 15.185 g/cm3
Crystal system = monoclinic
E_form = -103 meV/atom
Size of the total moment = 0.0 μB per cell

7.
DFT (PBE) results for a relaxed CaY2Be crystal.

```
CaY2Be
1.0
6.613 -0.005 0.002
5.625 3.477 0.002
2.104 0.597 4.802
Y Ca Be
2 1 1
direct
0.806 0.806 0.694 Y
0.999 0.999 0.000 Y
0.201 0.201 0.299 Ca
0.493 0.493 0.507 Be
```

Symmetry = Imm2, No. 44
Theoretical density = 3.409 g/cm3
Crystal system = orthorhombic
E_form = 226 meV/atom
Size of the total moment = 0.0 μB per cell

8.
DFT (PBE) results for a relaxed Tm3Zn2Ga crystal.

```
Tm3Zn2Ga
1.0
-0.864 0.856 4.821
0.058 -4.662 -1.725
5.996 -0.345 1.136
Ga Tm Zn
1 3 2
direct
0.000 0.000 0.000 Ga
0.667 0.333 0.834 Tm
0.333 0.667 0.166 Tm
0.000 0.000 0.500 Tm
0.333 0.667 0.654 Zn
0.667 0.333 0.346 Zn
```

Symmetry = P-3m1, No. 164
Theoretical density = 8.977 g/cm3
Energy above the lowest structure with this stoichiometry = 0 meV/atom
Crystal system = trigonal
E_form = -432 meV/atom
Size of the total moment = 0.0 μB per cell

9.
DFT (PBE) results for a relaxed Li2Ac3TlPd9 crystal.

```
Li2Ac3TlPd9
1.0
-5.251 2.627 -3.871
1.726 -6.794 -0.564
-4.763 -1.654 5.339
Ac Pd Tl Li
3 9 1 2
direct
0.000 0.000 0.000 Ac
0.333 0.667 0.667 Ac
0.667 0.333 0.333 Ac
0.191 0.382 0.320 Pd
0.809 0.618 0.680 Pd
0.191 0.809 0.320 Pd
0.382 0.191 0.680 Pd
0.500 0.000 0.000 Pd
0.618 0.809 0.320 Pd
0.809 0.191 0.680 Pd
0.500 0.500 0.000 Pd
0.000 0.500 0.000 Pd
0.000 0.000 0.500 Tl
0.667 0.333 0.890 Li
0.333 0.667 0.110 Li
```

Symmetry = P-3m1, No. 164
Theoretical density = 9.803 g/cm3
Crystal system = trigonal
E_form = -446 meV/atom
Size of the total moment = 0.0 μB per cell

10.
DFT (PBE) results for a relaxed Pm3PrY3 crystal.

```
Pm3PrY3
1.0
8.119 0.778 3.740
2.700 7.696 3.740
0.993 0.778 8.883
Y Pm Pr
6 6 2
direct
0.828 0.063 0.286 Y
0.172 0.937 0.714 Y
0.937 0.714 0.172 Y
0.063 0.286 0.828 Y
0.286 0.828 0.063 Y
0.714 0.172 0.937 Y
0.279 0.432 0.931 Pm
0.721 0.568 0.069 Pm
0.069 0.721 0.568 Pm
0.931 0.279 0.432 Pm
0.432 0.931 0.279 Pm
0.568 0.069 0.721 Pm
0.346 0.346 0.346 Pr
0.654 0.654 0.654 Pr
```

Symmetry = R-3, No. 148
Theoretical density = 5.655 g/cm3
Energy above the lowest structure with this stoichiometry = 0 meV/atom
Crystal system = trigonal
E_form = 212 meV/atom
Size of the total moment = 0.0 μB per cell

11.
DFT (PBE) results for a relaxed ZrIrSeN2 crystal.

```
ZrIrSeN2
1.0
-1.294 2.696 -2.388
1.213 -2.063 -2.986
-4.921 -2.563 -0.227
Se N Zr Ir
1 2 1 1
direct
0.000 0.000 0.500 Se
0.000 0.500 0.000 N
0.500 0.000 0.000 N
0.500 0.500 0.500 Zr
0.000 0.000 0.000 Ir
```

Symmetry = P4/mmm, No. 123
Theoretical density = 7.972 g/cm3
Energy above the lowest structure with this stoichiometry = 0 meV/atom
Crystal system = tetragonal
Size of the total moment = 0.6 μB per cell
Formation energy (no corrections) = 0.5648 eV per atom

12.
DFT (PBE) results for a relaxed Th4ReAu crystal.

```
Th4ReAu
1.0
6.156 0.000 0.000
0.000 7.321 0.000
0.000 0.000 7.321
Au Th Re
2 8 2
direct
0.750 0.000 0.000 Au
0.250 0.000 0.000 Au
0.000 0.179 0.652 Th
0.500 0.821 0.652 Th
0.500 0.652 0.179 Th
0.000 0.348 0.179 Th
0.000 0.652 0.821 Th
0.500 0.179 0.348 Th
0.000 0.821 0.348 Th
0.500 0.348 0.821 Th
0.250 0.500 0.500 Re
0.750 0.500 0.500 Re
```

Symmetry = P4/mcc, No. 124
Theoretical density = 13.200 g/cm3
Crystal system = tetragonal
E_form = -260 meV/atom
Size of the total moment = 0.0 μB per cell

13.
DFT (PBE) results for a relaxed ZnSiSb4 crystal.

```
ZnSiSb4
1.0
3.974 -0.208 4.714
-2.099 -0.154 5.799
0.551 -5.154 3.344
Sb Si Zn
4 1 1
direct
0.375 0.375 0.874 Sb
0.375 0.874 0.375 Sb
0.874 0.375 0.375 Sb
0.375 0.375 0.375 Sb
0.750 0.750 0.750 Si
0.000 0.000 0.000 Zn
```

Symmetry = F-43m, No. 216
Theoretical density = 5.808 g/cm3
Crystal system = cubic
Size of the total moment = 0.0 μB per cell
Formation energy (no corrections) = 0.6431 eV per atom

14.
DFT (PBE) results for a relaxed AcHoCdAg crystal.

```
AcHoCdAg
1.0
3.810 0.000 0.000
0.000 3.810 0.000
0.000 0.000 7.810
Ac Ag Ho Cd
1 1 1 1
direct
0.500 0.500 0.112 Ac
0.000 0.000 0.398 Ag
0.500 0.500 0.596 Ho
0.000 0.000 0.823 Cd
```

Symmetry = P4mm, No. 99
Theoretical density = 8.966 g/cm3
Energy above the lowest structure with this stoichiometry = 0 meV/atom
Crystal system = tetragonal
E_form = -281 meV/atom
Size of the total moment = 0.0 μB per cell

15.
DFT (PBE) results for a relaxed BeAsAu crystal.

```
BeAsAu
1.0
-0.256 2.832 2.783
2.075 -4.385 0.848
5.791 2.376 -1.885
Au Be As
2 2 2
direct
0.856 0.229 0.266 Au
0.462 0.035 0.766 Au
0.419 0.721 0.103 Be
0.899 0.543 0.603 Be
0.515 0.704 0.465 As
0.803 0.560 0.965 As
```

Symmetry = P2_1, No. 4
Theoretical density = 8.655 g/cm3
Crystal system = monoclinic
E_form = -66 meV/atom
Size of the total moment = 0.0 μB per cell

16.
DFT (PBE) results for a relaxed TiPNO2 crystal.

```
TiPNO2
1.0
-1.536 -2.998 -1.087
3.125 -1.656 0.152
-0.650 -0.912 3.433
O Ti P N
2 1 1 1
direct
0.500 0.000 0.000 O
0.000 0.500 0.000 O
0.500 0.500 0.500 Ti
0.000 0.000 0.000 P
0.000 0.000 0.500 N
```

Symmetry = P4/mmm, No. 123
Theoretical density = 4.581 g/cm3
Crystal system = tetragonal
Size of the total moment = 1.5 μB per cell
Formation energy (no corrections) = -0.7415 eV per atom

17.
DFT (PBE) results for a relaxed La2TlSi crystal.

```
La2TlSi
1.0
-3.597 1.564 -3.418
0.706 -3.056 -2.141
-4.496 -3.295 3.223
La Si Tl
2 1 1
direct
0.000 0.000 0.875 La
0.500 0.500 0.375 La
0.000 0.000 0.375 Si
0.500 0.500 0.875 Tl
```

Symmetry = Pmmm, No. 47
Theoretical density = 6.661 g/cm3
Crystal system = orthorhombic
Size of the total moment = 0.0 μB per cell
Formation energy (no corrections) = -0.2555 eV per atom

18.
DFT (PBE) results for a relaxed Na2In2F crystal.

```
Na2In2F
1.0
4.065 0.000 0.000
0.000 4.065 0.000
2.032 2.032 8.197
In Na F
2 2 1
direct
0.415 0.415 0.169 In
0.585 0.585 0.831 In
0.750 0.250 0.500 Na
0.250 0.750 0.500 Na
0.000 0.000 0.000 F
```

Symmetry = I4/mmm, No. 139
Theoretical density = 3.612 g/cm3
Energy above the lowest structure with this stoichiometry = 281 meV/atom
Crystal system = tetragonal
Size of the total moment = 0.0 μB per cell
Formation energy (no corrections) = -0.3136 eV per atom

19.
DFT (PBE) results for a relaxed LuMo2W crystal.

```
LuMo2W
1.0
3.216 0.000 0.000
0.000 3.216 0.000
0.000 0.000 6.991
Lu W Mo
1 1 2
direct
0.500 0.500 0.500 Lu
0.500 0.500 0.000 W
0.000 0.000 0.215 Mo
0.000 0.000 0.785 Mo
```

Symmetry = P4/mmm, No. 123
Theoretical density = 12.649 g/cm3
Crystal system = tetragonal
E_form = 182 meV/atom
Size of the total moment = 0.0 μB per cell

20.
DFT (PBE) results for a relaxed SmMg5Zn2 crystal.

```
SmMg5Zn2
1.0
-3.405 -0.722 -1.576
-2.616 -5.626 3.598
-4.834 2.530 4.655
Mg Sm Zn
5 1 2
direct
0.353 0.845 0.449 Mg
0.000 0.500 0.500 Mg
0.647 0.551 0.155 Mg
0.353 0.449 0.845 Mg
0.647 0.155 0.551 Mg
0.000 0.000 0.000 Sm
0.267 0.233 0.233 Zn
0.733 0.767 0.767 Zn
```

Symmetry = Immm, No. 71
Theoretical density = 3.774 g/cm3
Crystal system = orthorhombic
E_form = -141 meV/atom
Size of the total moment = 0.0 μB per cell